An optimized crystal structure of Ba2AlFe3O7, computed with PBE+U.

Output
Total magnetic moment   12.97 μB/f.u.
Calculated total energy   -0.48277 Ry per atom

a = 3.761 Å, b = 4.796 Å, c = 10.827 Å
α = 84.43°, β = 87.99°, γ = 87.89°
Fractional coordinates of all 13 atoms:
Ba (0.000, 0.000, 0.000)
Ba (0.033, 0.103, 0.637)
Al (0.157, 0.044, 0.312)
Fe (0.500, 0.461, 0.181)
Fe (0.516, 0.576, 0.818)
Fe (0.541, 0.619, 0.455)
O (0.014, 0.806, 0.437)
O (0.435, 0.843, 0.208)
O (0.459, 0.275, 0.370)
O (0.513, 0.466, 0.998)
O (0.515, 0.525, 0.645)
O (0.516, 0.985, 0.818)
O (0.996, 0.305, 0.193)